# 1
A geometry-optimized Pr7SeBr12 structure, computed with PBE-GGA.

Lattice parameters (Å, degrees): 15.3511 15.3511 10.1739 90.00 90.00 120.00
Space group R-3 (No. 148, hexagonal axes)
Asymmetric unit:
Pr 0.0000 0.0000 0.0000
Pr 0.0451 0.8790 0.3388
Se 0.0000 0.0000 0.5000
Br 0.0253 0.4385 0.1630
Br 0.0502 0.8653 0.8429

=====

# 2
A geometry-optimized Pr2Se2Br structure, computed with PBE-GGA.

Lattice parameters (Å, degrees): 16.245 4.970 7.349 90.00 90.00 90.00
Space group Cmcm (No. 63)
Asymmetric unit:
Pr 0.159 0.000 0.000
Se 0.180 0.500 0.250
Br 0.000 0.002 0.250

Output
**Energy above the lowest structure with this stoichiometry**: 12.5 kJ per mole of atoms

=====

# 3
A geometry-optimized Pr5Se4Br structure, computed with PBE-GGA.

Lattice parameters (Å, degrees): 4.2212 4.2212 54.1214 90.00 90.00 120.00
Space group R-3m (No. 166, hexagonal axes)
Asymmetric unit:
Pr 0.0000 0.0000 0.0000
Pr 0.0000 0.0000 0.2050
Pr 0.0000 0.0000 0.3995
Se 0.0000 0.0000 0.0979
Se 0.0000 0.0000 0.3004
Br 0.0000 0.0000 0.5000

=====

# 4
A geometry-optimized Pr4Se4Br3 structure, computed with PBE-GGA.

Lattice parameters (Å, degrees): 4.279 8.499 17.359 90.00 90.00 90.00
Space group Immm (No. 71)
Asymmetric unit:
Pr 0.000 0.000 0.234
Pr 0.000 0.220 0.500
Se 0.000 0.294 0.334
Br 0.000 0.000 0.000
Br 0.000 0.500 0.090

=====

# 5
A geometry-optimized Pr3SeBr7 structure, computed with PBE-GGA.

Lattice parameters (Å, degrees): 8.7721 8.7721 7.0325 90.00 90.00 120.00
Space group P3m1 (No. 156)
Asymmetric unit:
Pr 0.0116 0.5058 0.0000
Se 0.3333 0.6667 0.7826
Br 0.1741 0.3482 0.2355
Br 0.3512 0.1756 0.7831
Br 0.6667 0.3333 0.2398

=====

# 6
A geometry-optimized Pr2Se2Br structure, computed with PBE-GGA.

Lattice parameters (Å, degrees): 13.534 5.942 8.655 90.00 109.15 90.00
Space group C2/m (No. 12)
Asymmetric unit:
Pr 0.005 0.000 0.242
Pr 0.163 0.500 0.075
Se 0.004 0.500 0.248
Se 0.168 0.000 0.084
Br 0.161 0.000 0.590

Output
**Energy above the lowest structure with this stoichiometry**: 0.0 kJ per mole of atoms

=====

# 7
A geometry-optimized Pr3SeBr3 structure, computed with PBE-GGA.

Lattice parameters (Å, degrees): 12.023 12.023 12.023 90.00 90.00 90.00
Space group I4_132 (No. 214)
Asymmetric unit:
Pr 0.114 0.364 0.125
Se 0.125 0.125 0.125
Br 0.118 0.132 0.625

=====

# 8
A geometry-optimized Pr4Se3Br4 structure, computed with PBE-GGA.

Lattice parameters (Å, degrees): 3.845 8.822 18.047 90.00 90.00 90.00
Space group Immm (No. 71)
Asymmetric unit:
Pr 0.000 0.000 0.225
Pr 0.000 0.231 0.000
Se 0.000 0.000 0.500
Se 0.000 0.500 0.409
Br 0.000 0.317 0.171

=====

# 9
A geometry-optimized Pr4Se5Br structure, computed with PBE-GGA.

Lattice parameters (Å, degrees): 9.075 10.254 7.332 90.00 90.00 90.00
Space group Pmmn (No. 59, origin choice 2)
Asymmetric unit:
Pr 0.029 0.250 0.034
Pr 0.250 0.010 0.514
Se 0.009 0.547 0.243
Se 0.250 0.250 0.319
Br 0.250 0.750 0.721

=====

# 10
A geometry-optimized Pr3Se2Br structure, computed with PBE-GGA.

Lattice parameters (Å, degrees): 4.0822 4.0822 23.3078 90.00 90.00 120.00
Space group P6_3/mmc (No. 194)
Asymmetric unit:
Pr 0.0000 0.0000 0.0000
Pr 0.3333 0.6667 0.1547
Se 0.3333 0.6667 0.5784
Br 0.0000 0.0000 0.2500

=====

# 11
A geometry-optimized Pr2SeBr structure, computed with PBE-GGA.

Lattice parameters (Å, degrees): 6.980 4.029 9.732 90.00 90.03 90.00
Space group Cm (No. 8)
Asymmetric unit:
Pr 0.000 0.000 0.000
Pr 0.166 0.500 0.473
Se 0.499 0.500 0.292
Br 0.167 0.500 0.782

Output
**Energy above the lowest structure with this stoichiometry**: 30.7 kJ per mole of atoms

=====

# 12
A geometry-optimized Pr6SeBr8 structure, computed with PBE-GGA.

Lattice parameters (Å, degrees): 7.4713 7.4713 31.7598 90.00 90.00 120.00
Space group R-3 (No. 148, hexagonal axes)
Asymmetric unit:
Pr 0.0000 0.3234 0.0500
Se 0.0000 0.0000 0.0000
Br 0.0000 0.0000 0.3333
Br 0.0000 0.3354 0.8934

=====

# 13
A geometry-optimized Pr4SiSeBr2 structure, computed with PBE-GGA.

Lattice parameters (Å, degrees): 7.459 4.310 7.701 90.00 109.06 90.00
Space group P2/m (No. 10)
Asymmetric unit:
Pr 0.226 0.000 0.211
Pr 0.250 0.500 0.790
Si 0.000 0.500 0.000
Se 0.500 0.000 0.000
Br 0.000 0.000 0.500
Br 0.500 0.500 0.500

=====

# 14
A geometry-optimized Pr6Si2Se3Br structure, computed with PBE-GGA.

Lattice parameters (Å, degrees): 18.731 4.274 8.696 90.00 102.45 90.00
Space group C2/m (No. 12)
Asymmetric unit:
Pr 0.009 0.000 0.274
Pr 0.169 0.500 0.579
Pr 0.175 0.500 0.105
Si 0.167 0.000 0.334
Se 0.000 0.500 0.500
Se 0.161 0.000 0.838
Br 0.000 0.500 0.000

=====

# 15
A geometry-optimized Pr8SiSe3Br4 structure, computed with PBE-GGA.

Lattice parameters (Å, degrees): 8.6280 8.6280 21.6225 90.00 90.00 120.00
Space group R-3m (No. 166, hexagonal axes)
Asymmetric unit:
Pr 0.0000 0.0000 0.2359
Pr 0.0081 0.5040 0.2366
Si 0.0000 0.0000 0.5000
Se 0.0000 0.5000 0.5000
Br 0.0000 0.0000 0.0000
Br 0.0000 0.5000 0.0000

=====

# 16
A geometry-optimized Pr3SnSeBr structure, computed with PBE-GGA.

Lattice parameters (Å, degrees): 8.321 4.436 10.683 90.00 110.26 90.00
Space group P2_1/m (No. 11)
Asymmetric unit:
Pr 0.180 0.250 0.112
Pr 0.183 0.250 0.488
Pr 0.314 0.750 0.832
Sn 0.011 0.250 0.746
Se 0.420 0.750 0.121
Br 0.453 0.750 0.604

=====

# 17
A geometry-optimized Pr4TeSe2Br structure, computed with PBE-GGA.

Lattice parameters (Å, degrees): 8.737 12.237 8.678 90.00 90.00 90.00
Space group Fmm2 (No. 42)
Asymmetric unit:
Pr 0.000 0.248 0.000
Pr 0.213 0.000 0.239
Te 0.000 0.000 0.526
Se 0.250 0.250 0.250
Br 0.000 0.000 0.957

=====

# 18
A geometry-optimized Pr6Te3Se2Br structure, computed with PBE-GGA.

Lattice parameters (Å, degrees): 7.700 13.183 7.619 90.00 108.99 90.00
Space group C2/m (No. 12)
Asymmetric unit:
Pr 0.215 0.000 0.217
Pr 0.243 0.178 0.768
Te 0.000 0.000 0.500
Te 0.000 0.344 0.500
Se 0.000 0.170 0.000
Br 0.000 0.500 0.000

=====

# 19
A geometry-optimized Pr8ZnSe3Br4 structure, computed with PBE-GGA.

Lattice parameters (Å, degrees): 8.5949 8.5949 21.7959 90.00 90.00 120.00
Space group R-3m (No. 166, hexagonal axes)
Asymmetric unit:
Pr 0.0000 0.0000 0.2370
Pr 0.0052 0.5026 0.2382
Zn 0.0000 0.0000 0.5000
Se 0.0000 0.5000 0.5000
Br 0.0000 0.0000 0.0000
Br 0.0000 0.5000 0.0000

=====

Number 1: E_form (uncorrected) -1.730 eV/atom, V 34.61 A^3/atom. Number 2: E_form (uncorrected) -1.701 eV/atom, V 29.67 A^3/atom. Number 3: E_form (uncorrected) -1.687 eV/atom, V 27.84 A^3/atom. Number 4: E_form (uncorrected) -1.701 eV/atom, V 28.69 A^3/atom. Number 5: E_form (uncorrected) -1.847 eV/atom, V 42.60 A^3/atom. Number 6: E_form (uncorrected) -1.831 eV/atom, V 32.87 A^3/atom. Number 7: E_form (uncorrected) -1.618 eV/atom, V 31.04 A^3/atom. Number 8: E_form (uncorrected) -1.742 eV/atom, V 27.83 A^3/atom. Number 9: E_form (uncorrected) -1.654 eV/atom, V 34.12 A^3/atom. Number 10: E_form (uncorrected) -1.597 eV/atom, V 28.03 A^3/atom. Number 11: E_form (uncorrected) -1.159 eV/atom, V 34.21 A^3/atom. Number 12: E_form (uncorrected) -1.558 eV/atom, V 34.12 A^3/atom. Number 13: E_form (uncorrected) -1.324 eV/atom, V 29.25 A^3/atom. Number 14: E_form (uncorrected) -1.419 eV/atom, V 28.33 A^3/atom. Number 15: E_form (uncorrected) -1.409 eV/atom, V 29.04 A^3/atom. Number 16: E_form (uncorrected) -1.246 eV/atom, V 30.82 A^3/atom. Number 17: E_form (uncorrected) -1.509 eV/atom, V 28.99 A^3/atom. Number 18: E_form (uncorrected) -1.522 eV/atom, V 30.47 A^3/atom. Number 19: E_form (uncorrected) -1.310 eV/atom, V 29.05 A^3/atom.